Material: PmHoErTm2
Method: DFT, PBE
State: relaxed

Structure (POSCAR):
```
PmHoErTm2
1.0
4.157 -5.683 0.000
4.157 5.683 0.000
0.000 0.000 7.155
Pm Ho Er Tm
2 2 2 4
direct
0.227 0.773 0.750
0.773 0.227 0.250
0.500 0.500 0.250
0.500 0.500 0.750
0.221 0.779 0.250
0.779 0.221 0.750
0.189 0.189 0.000
0.189 0.189 0.500
0.811 0.811 0.000
0.811 0.811 0.500
```

Output
The formation energy comes out at 0.39 eV per atom. Its symmetry is Cmcm (63). The magnetization comes out at 0.0 μB per formula unit. The total energy is -4.18 eV/atom. The value obtained for the calculated volume is 338.1 Å³/cell.

Material: PmHo4ErTm2
Method: DFT, PBE
State: relaxed

Structure (POSCAR):
```
PmHo4ErTm2
1.0
6.742 -6.610 0.000
6.742 6.610 0.000
-3.367 0.000 5.837
Pm Ho Er Tm
2 8 2 4
direct
0.000 0.500 0.000
0.500 0.000 0.500
0.247 0.252 0.498
0.249 0.751 0.502
0.249 0.751 0.998
0.252 0.247 0.998
0.748 0.753 0.002
0.751 0.249 0.002
0.751 0.249 0.498
0.753 0.748 0.502
0.500 0.500 0.000
0.500 0.500 0.500
0.000 0.000 0.000
0.000 0.000 0.500
0.000 0.500 0.500
0.500 0.000 0.000
```

Output
The formation energy comes out at 0.45 eV per atom. Its symmetry is C2/c (15). The magnetization comes out at 3.2 μB per formula unit. The total energy is -4.12 eV/atom. The value obtained for the calculated volume is 520.2 Å³/cell.

Number 1: DOS(E_F) 1.30 states/eV/atom. Number 2: DOS(E_F) 2.12 states/eV/atom.